NdAsPdO | GGA-PBE | relaxed

Summary:
Calculated total energy = -6.324 eV per atom

Cell lengths 3.3330, 7.2788, 5.8922 Å; angles 90.00, 90.00, 90.00 degrees
Closest atoms and distances in Å follow each position.
Atoms (fractional coordinates):
1 Pd 0.5000 0.3115 0.5691  4 As 2.59-2.64, 2 O 2.60-2.80
2 Pd 0.5000 0.6885 0.0691  4 As 2.59-2.64, 2 O 2.60-2.80
3 O 0.5000 0.0080 0.8030  4 Nd 2.41, 1 Pd 2.60
4 O 0.5000 0.9920 0.3030  4 Nd 2.41, 1 Pd 2.60
5 Nd 0.0000 0.1255 0.0591  4 O 2.41
6 Nd 0.0000 0.8745 0.5591  4 O 2.41
7 As 0.0000 0.4959 0.3228  4 Pd 2.59-2.64
8 As 0.0000 0.5041 0.8228  4 Pd 2.59-2.64


ZnBIr2 | GGA-PBE | relaxed

Summary:
Distance to the lowest polymorph of the same formula = 2.4 meV/atom

Cell lengths 2.8144, 2.8144, 14.6465 Å; angles 90.00, 90.00, 120.00 degrees
Closest atoms and distances in Å follow each position.
Atoms (fractional coordinates):
1 B 0.0000 0.0000 0.2500  6 Ir 2.19
2 B 0.0000 0.0000 0.7500  6 Ir 2.19
3 Ir 0.3333 0.6667 0.1495  3 B 2.19
4 Ir 0.6667 0.3333 0.8505  3 B 2.19
5 Ir 0.3333 0.6667 0.3505  3 B 2.19
6 Ir 0.6667 0.3333 0.6495  3 B 2.19
7 Zn 0.0000 0.0000 0.5000  6 Ir 2.73, 6 Zn 2.81
8 Zn 0.0000 0.0000 0.0000  6 Ir 2.73, 6 Zn 2.81


Rb3TaTeSe3 | GGA-PBE | relaxed

Summary:
Calculated total energy = -4.592 eV per atom

Cell lengths 7.1553, 7.1553, 7.1553 Å; angles 106.39, 106.39, 106.39 degrees
Closest atoms and distances in Å follow each position.
Atoms (fractional coordinates):
1 Se 0.0258 0.6853 0.0258  1 Ta 2.41
2 Se 0.6853 0.0258 0.0258  1 Ta 2.41
3 Se 0.0258 0.0258 0.6853  1 Ta 2.41
4 Rb 0.4852 0.9305 0.4852  3 Se 3.48-3.51, 2 Te 3.69-3.77
5 Rb 0.4852 0.4852 0.9305  3 Se 3.48-3.51, 2 Te 3.69-3.77
6 Rb 0.9305 0.4852 0.4852  3 Se 3.48-3.51, 2 Te 3.69-3.77
7 Te 0.3461 0.3461 0.3461  1 Ta 2.70
8 Ta 0.0161 0.0161 0.0161  3 Se 2.41


InTe3WAu | GGA-PBE | relaxed

Summary:
Calculated total energy = -4.519 eV per atom

Cell lengths 8.2146, 8.2146, 10.4801 Å; angles 90.00, 90.00, 26.29 degrees
Closest atoms and distances in Å follow each position.
Atoms (fractional coordinates):
1 W 0.0000 0.0000 0.5000  6 Te 2.81-2.94
2 W 0.0000 0.0000 0.0000  6 Te 2.81-2.94
3 Au 0.5468 0.5468 0.2500  4 Te 2.69-2.79
4 Au 0.4532 0.4532 0.7500  4 Te 2.69-2.79
5 Te 0.3698 0.3698 0.5275  1 Au 2.69, 2 W 2.81
6 Te 0.6302 0.6302 0.0275  1 Au 2.69, 2 W 2.81
7 Te 0.6302 0.6302 0.4725  1 Au 2.69, 2 W 2.81
8 Te 0.9172 0.9172 0.2500  2 Au 2.79, 2 W 2.94
9 Te 0.3698 0.3698 0.9725  1 Au 2.69, 2 W 2.81
10 Te 0.0828 0.0828 0.7500  2 Au 2.79, 2 W 2.94
11 In 0.7663 0.7663 0.7500  8 Te 3.42-3.63, 2 Au 3.53, 2 In 3.74
12 In 0.2337 0.2337 0.2500  8 Te 3.42-3.63, 2 Au 3.53, 2 In 3.74


no.,V (A^3/atom)
1,17.9
2,12.6
3,38.8
4,26.1